Record 1
A plane-wave DFT calculation with PBE was carried out for a relaxed structure of CaCrCu2.

extended XYZ file:
```
4
Lattice="-3.0213 -0.4641 1.2306 1.3026 -1.1225 2.7748 1.3583 4.9380 5.1974" Properties=species:S:1:pos:R:3 pbc="T T T"
Cr 0.4851 2.6296 6.5945
Ca -0.8454 0.7218 2.6084
Cu 1.3544 4.6020 5.0609
Cu 1.3345 2.2438 4.1227
```

Volume = 70 Å³/cell
Crystal system = orthorhombic

Record 2
A plane-wave DFT calculation with PBE was carried out for a relaxed structure of CaCr2Cu.

extended XYZ file:
```
4
Lattice="3.0803 0.5504 0.0000 -0.5499 3.0804 0.0000 0.0000 0.0000 7.0532" Properties=species:S:1:pos:R:3 pbc="T T T"
Cr 0.0000 0.0000 0.5409
Cr 1.2652 1.8154 1.6406
Ca 1.2652 1.8154 5.2341
Cu 0.0000 0.0000 3.1641
```

Volume = 69 Å³/cell
Crystal system = tetragonal

Number 1: energy above the most stable polymorph in this dataset 0.0485 eV per atom. Number 2: energy above the most stable polymorph in this dataset 0.0000 eV per atom.